Entry 1:
Material: Tl6Sn2Pb
Method: DFT, PBE
State: optimized geometry

The space group is C2/m (No. 12) and the conventional cell measures 9.438, 5.440 and 10.563 Å, with angles of 90.00, 90.14 and 90.00 degrees. The asymmetric unit holds Tl at (0.001, 0.000, 0.334), Tl at (0.166, 0.500, 0.881), Tl at (0.168, 0.500, 0.222), Sn at (0.166, 0.500, 0.550) and Pb at (0.000, 0.000, 0.000).

For the offset from the most stable computed form, the calculation gives 0.0 meV/atom. The calculation puts the calculated total energy at -51.29 eV for the cell shown. As for the formation energy: 0.0296 eV/atom. The value obtained for the density of states at the Fermi level is 0.401 states/eV per atom.

***

Entry 2:
Material: Tl5Sn2Pb
Method: DFT, PBE
State: optimized geometry

The space group is Pbam (No. 55) and the conventional cell measures 6.925, 14.122 and 4.918 Å, with angles of 90.00, 90.00 and 90.00 degrees. The asymmetric unit holds Tl at (0.000, 0.000, 0.000), Tl at (0.013, 0.253, 0.000), Tl at (0.235, 0.874, 0.500), Sn at (0.239, 0.621, 0.500) and Pb at (0.000, 0.500, 0.000).

The calculation puts the calculated total energy at -46.68 eV for the cell shown. As for the formation energy: 0.0257 eV/atom. The value obtained for the density of states at the Fermi level is 0.437 states/eV per atom.

***

Entry 3:
Material: Tl12Sn2Pb
Method: DFT, PBE
State: optimized geometry

The space group is P4/nbm (No. 125, origin choice 2) and the conventional cell measures 6.568, 6.568 and 24.190 Å, with angles of 90.00, 90.00 and 90.00 degrees. The asymmetric unit holds Tl at (0.000, 0.000, 0.100), Tl at (0.077, 0.577, 0.439), Tl at (0.250, 0.250, 0.211), Tl at (0.250, 0.250, 0.343), Sn at (0.250, 0.750, 0.200) and Pb at (0.250, 0.750, 0.000).

The calculation puts the calculated total energy at -75.65 eV for the cell shown. As for the formation energy: 0.1524 eV/atom. The value obtained for the density of states at the Fermi level is 0.579 states/eV per atom.

***

Entry 4:
Material: Tl2Sn3Pb4
Method: DFT, PBE
State: optimized geometry

The space group is Cmce (No. 64) and the conventional cell measures 6.722, 16.983 and 10.241 Å, with angles of 90.00, 90.00 and 90.00 degrees. The asymmetric unit holds Tl at (0.000, 0.100, 0.071), Sn at (0.000, 0.000, 0.500), Sn at (0.250, 0.243, 0.750), Pb at (0.000, 0.184, 0.488) and Pb at (0.250, 0.058, 0.750).

The calculation puts the calculated total energy at -123.90 eV for the cell shown. As for the formation energy: 0.0667 eV/atom. The value obtained for the density of states at the Fermi level is 0.495 states/eV per atom.

***

Entry 5:
Material: Tl2Sn2Pb3
Method: DFT, PBE
State: optimized geometry

The space group is C2/m (No. 12) and the conventional cell measures 11.533, 4.643 and 8.079 Å, with angles of 90.00, 101.41 and 90.00 degrees. The asymmetric unit holds Tl at (0.064, 0.000, 0.208), Sn at (0.153, 0.500, 0.931), Pb at (0.000, 0.500, 0.500) and Pb at (0.218, 0.000, 0.650).

For the offset from the most stable computed form, the calculation gives 0.0 meV/atom. The calculation puts the calculated total energy at -47.37 eV for the cell shown. As for the formation energy: 0.0253 eV/atom. The value obtained for the density of states at the Fermi level is 0.450 states/eV per atom.

***

Entry 6:
Material: Tl5Sn4Pb
Method: DFT, PBE
State: optimized geometry

The space group is P-1 (No. 2) and the conventional cell measures 3.413, 3.414 and 25.513 Å, with angles of 90.00, 90.00 and 96.74 degrees. The asymmetric unit holds Tl at (0.000, 0.000, 0.000), Tl at (0.001, 0.001, 0.604), Tl at (0.001, 0.001, 0.802), Sn at (0.500, 0.497, 0.298), Sn at (0.500, 0.499, 0.099) and Pb at (0.500, 0.500, 0.500).

The calculation puts the calculated total energy at -31.24 eV for the cell shown. As for the formation energy: 0.0306 eV/atom. The value obtained for the density of states at the Fermi level is 0.353 states/eV per atom.

***

Q: Among the records above, which one has the highest calculated total energy?
A: Tl5Sn4Pb

***

Repeat the fourth record exactly.
Material: Tl2Sn3Pb4
Method: DFT, PBE
State: optimized geometry

The space group is Cmce (No. 64) and the conventional cell measures 6.722, 16.983 and 10.241 Å, with angles of 90.00, 90.00 and 90.00 degrees. The asymmetric unit holds Tl at (0.000, 0.100, 0.071), Sn at (0.000, 0.000, 0.500), Sn at (0.250, 0.243, 0.750), Pb at (0.000, 0.184, 0.488) and Pb at (0.250, 0.058, 0.750).

The calculation puts the calculated total energy at -123.90 eV for the cell shown. As for the formation energy: 0.0667 eV/atom. The value obtained for the density of states at the Fermi level is 0.495 states/eV per atom.